[1]
# PBE ZnGa5Sn, relaxed
data_ZnGa5Sn
_symmetry_space_group_name_H-M 'P 4/m m m'
_symmetry_Int_Tables_number 123
_symmetry_space_group_name_Hall '-P 4 2'
_cell_length_a 4.159
_cell_length_b 4.159
_cell_length_c 8.306
_cell_angle_alpha 90.00
_cell_angle_beta 90.00
_cell_angle_gamma 90.00
loop_
_atom_site_label
_atom_site_type_symbol
_atom_site_fract_x
_atom_site_fract_y
_atom_site_fract_z
Zn1 Zn 0.000 0.000 0.000
Ga1 Ga 0.000 0.500 0.243
Ga2 Ga 0.500 0.500 0.000
Sn1 Sn 0.500 0.500 0.500
# * density of states at the Fermi level: 0.32 states/eV/atom
# * formation enthalpy at 0 K: 0.057 eV/atom
# * volume: 20.53 Å³/atom

[2]
# PBE Li4Pm5Au4, relaxed
data_Li4Pm5Au4
_symmetry_space_group_name_H-M 'I 4/m'
_symmetry_Int_Tables_number 87
_symmetry_space_group_name_Hall '-I 4'
_cell_length_a 12.170
_cell_length_b 12.170
_cell_length_c 4.153
_cell_angle_alpha 90.00
_cell_angle_beta 90.00
_cell_angle_gamma 90.00
loop_
_atom_site_label
_atom_site_type_symbol
_atom_site_fract_x
_atom_site_fract_y
_atom_site_fract_z
Li1 Li 0.075 0.597 0.000
Pm1 Pm 0.000 0.000 0.500
Pm2 Pm 0.124 0.211 0.000
Au1 Au 0.065 0.744 0.500
# * density of states at the Fermi level: 1.12 states/eV/atom
# * formation enthalpy at 0 K: -0.507 eV/atom
# * volume: 23.65 Å³/atom

[3]
# PBE Ac3GaSi, relaxed
data_Ac3GaSi
_symmetry_space_group_name_H-M 'P 1 21/c 1'
_symmetry_Int_Tables_number 14
_cell_length_a 10.054
_cell_length_b 8.168
_cell_length_c 9.037
_cell_angle_alpha 90.00
_cell_angle_beta 113.71
_cell_angle_gamma 90.00
loop_
_symmetry_equiv_pos_as_xyz
'x,y,z'
'-x,-y,-z'
'-x,y+1/2,-z+1/2'
'x,-y+1/2,z+1/2'
loop_
_atom_site_label
_atom_site_type_symbol
_atom_site_fract_x
_atom_site_fract_y
_atom_site_fract_z
Ac1 Ac 0.057 0.008 0.215
Ac2 Ac 0.295 0.679 0.116
Ac3 Ac 0.347 0.178 0.995
Ga1 Ga 0.080 0.148 0.551
Si1 Si 0.418 0.519 0.857
# * density of states at the Fermi level: 0.97 states/eV/atom
# * offset from the most stable computed form: 0.0 meV per atom
# * volume: 33.97 Å³/atom

[4]
# PBE La4Nd3Ho2, relaxed
data_La4Nd3Ho2
_symmetry_space_group_name_H-M 'C 1 2/m 1'
_symmetry_Int_Tables_number 12
_cell_length_a 15.601
_cell_length_b 5.225
_cell_length_c 8.174
_cell_angle_alpha 90.00
_cell_angle_beta 108.39
_cell_angle_gamma 90.00
loop_
_symmetry_equiv_pos_as_xyz
'x,y,z'
'-x,-y,-z'
'-x,y,-z'
'x,-y,z'
'x+1/2,y+1/2,z'
'-x+1/2,-y+1/2,-z'
'-x+1/2,y+1/2,-z'
'x+1/2,-y+1/2,z'
loop_
_atom_site_label
_atom_site_type_symbol
_atom_site_fract_x
_atom_site_fract_y
_atom_site_fract_z
La1 La 0.055 0.000 0.329
La2 La 0.223 0.500 0.330
Nd1 Nd 0.000 0.500 0.000
Nd2 Nd 0.112 0.500 0.670
Ho1 Ho 0.168 0.000 0.999
# * density of states at the Fermi level: 1.81 states/eV/atom
# * formation enthalpy at 0 K: 0.022 eV/atom
# * offset from the most stable computed form: 0.0 meV per atom
# * volume: 35.13 Å³/atom